Crystalline Pm4Pr2DyTh at its relaxed geometry, computed with PBE.

Uncorrected energy = -4.94 eV per atom
Total magnetization = 0.000 μB per cell
Energy of formation = 102 kJ/mol of formula units
V = 273 Å³/cell
Crystal system = monoclinic

a = 6.0901 Å, b = 6.0976 Å, c = 7.3455 Å
α = 90.00°, β = 90.11°, γ = 90.00°
Space group P2/m (No. 10)
Symmetry-distinct sites (fractional):
Pm1 0.9998 0.0000 0.2460 (multiplicity 2)
Pm2 0.5001 0.5000 0.2459 (multiplicity 2)
Pr1 0.0000 0.5000 0.0000 (multiplicity 1)
Pr2 0.5000 0.0000 0.5000 (multiplicity 1)
Dy1 0.0000 0.5000 0.5000 (multiplicity 1)
Th1 0.5000 0.0000 0.0000 (multiplicity 1)


Crystalline TbHo4Pd4 at its relaxed geometry, computed with PBE.

Uncorrected energy = -5.54 eV per atom
Total magnetization = 0.000 μB per cell
Energy of formation = -590 kJ/mol of formula units
V = 461 Å³/cell
Crystal system = tetragonal

a = 8.9489 Å, b = 8.9489 Å, c = 5.7620 Å
α = 90.00°, β = 90.00°, γ = 90.00°
Space group P4_2/n (No. 86, origin choice 2)
Symmetry-distinct sites (fractional):
Tb1 0.2500 0.2500 0.2500 (multiplicity 2)
Ho1 0.0718 0.6576 0.1614 (multiplicity 8)
Pd1 0.0330 0.6259 0.6579 (multiplicity 8)


Crystalline ZrAg at its relaxed geometry, computed with PBE.

Uncorrected energy = -5.69 eV per atom
Total magnetization = 0.003 μB per cell
Energy of formation = 2 kJ/mol of formula units
V = 162 Å³/cell
Crystal system = orthorhombic

a = 2.9176 Å, b = 11.6100 Å, c = 4.7939 Å
α = 90.00°, β = 90.00°, γ = 90.00°
Space group Cmcm (No. 63)
Symmetry-distinct sites (fractional):
Zr1 0.0000 0.1640 0.2500 (multiplicity 4)
Ag1 0.0000 0.4298 0.2500 (multiplicity 4)


Crystalline AcHo2Ga at its relaxed geometry, computed with PBE.

Energy above the lowest structure with this stoichiometry = 82.0 meV/atom
Uncorrected energy = -4.24 eV per atom
Total magnetization = 0.000 μB per cell
Energy of formation = -63 kJ/mol of formula units
V = 371 Å³/cell
Crystal system = trigonal

a = 3.7147 Å, b = 3.7147 Å, c = 31.0328 Å
α = 90.00°, β = 90.00°, γ = 120.00°
Space group R-3m (No. 166, hexagonal axes)
Symmetry-distinct sites (fractional):
Ac1 0.0000 0.0000 0.0000 (multiplicity 3)
Ho1 0.0000 0.0000 0.2345 (multiplicity 6)
Ga1 0.0000 0.0000 0.5000 (multiplicity 3)